The following is a PBE calculation of a relaxed ZrCo3Br crystal, from the Alexandria database.

Summary:
The calculated volume is 16.060 Å³/atom. The energy above the lowest structure with this stoichiometry comes out at 0.0 meV/atom. For the uncorrected formation energy, the calculation gives 0.832 eV per atom. For the size of the total moment, the calculation gives 0.1 μB per formula unit.

Geometry as CIF:
```
data_ZrCo3Br
_cell_length_a 4.314
_cell_length_b 4.314
_cell_length_c 4.314
_cell_angle_alpha 90.00
_cell_angle_beta 90.00
_cell_angle_gamma 90.00
_symmetry_space_group_name_H-M 'P m -3 m'
_symmetry_Int_Tables_number 221
_symmetry_space_group_name_Hall '-P 4 2 3'
loop_
_atom_site_label
_atom_site_fract_x
_atom_site_fract_y
_atom_site_fract_z
Zr1 0.000 0.000 0.000
Co1 0.000 0.500 0.500
Br1 0.500 0.500 0.500
```